No. 1
The following is a DFT calculation (GGA-PBE) of an optimized crystal structure of NpInFeIr.

E_form in eV per atom: -0.0652

Geometry as POSCAR:
```
NpInFeIr
1.0
6.621 0.000 0.000
0.000 6.621 0.000
0.000 0.000 6.621
Np In Fe Ir
4 4 4 4
Cartesian
0.000 0.000 0.000 Np
0.000 3.310 3.310 Np
3.310 0.000 3.310 Np
3.310 3.310 0.000 Np
0.000 0.000 3.310 In
0.000 3.310 0.000 In
3.310 0.000 0.000 In
3.310 3.310 3.310 In
1.655 1.655 4.966 Fe
1.655 4.966 1.655 Fe
4.966 1.655 1.655 Fe
4.966 4.966 4.966 Fe
1.655 1.655 1.655 Ir
1.655 4.966 4.966 Ir
4.966 1.655 4.966 Ir
4.966 4.966 1.655 Ir
```

No. 2
The following is a DFT calculation (GGA-PBE) of an optimized crystal structure of La3BiN.

Formation energy from raw total energies in eV/atom: -0.90

Geometry as POSCAR:
```
La3BiN
1.0
6.297 -7.046 0.000
6.297 7.046 0.000
-0.368 0.000 6.513
La Bi N
12 4 4
Cartesian
4.751 4.902 6.041 La
4.725 2.671 2.672 La
7.292 4.902 3.728 La
4.529 0.973 5.888 La
7.686 2.671 0.584 La
4.713 -0.973 2.632 La
7.514 0.973 3.881 La
4.541 -2.671 5.929 La
7.698 -0.973 0.625 La
4.935 -4.902 2.785 La
7.502 -2.671 3.840 La
7.476 -4.902 0.472 La
1.891 1.130 3.656 Bi
2.075 -1.130 0.399 Bi
10.152 1.130 6.113 Bi
10.336 -1.130 2.857 Bi
6.022 2.948 4.885 N
6.205 0.889 1.628 N
6.022 -0.889 4.885 N
6.205 -2.948 1.628 N
```

No. 3
The following is a DFT calculation (GGA-PBE) of an optimized crystal structure of CeOsPbO6.

Formation energy from raw total energies in eV/atom: -1.73

Geometry as POSCAR:
```
CeOsPbO6
1.0
-3.634 3.687 5.003
3.634 -3.687 5.003
3.634 3.687 -5.003
Ce Os Pb O
2 2 2 12
Cartesian
0.000 0.000 0.000 Ce
0.000 3.687 0.000 Ce
-1.817 1.844 2.502 Os
1.817 1.844 2.502 Os
3.634 1.844 -0.499 Pb
0.000 1.844 5.503 Pb
3.634 -1.844 3.934 O
2.169 0.515 1.181 O
5.099 0.515 1.181 O
0.000 1.844 1.718 O
2.169 4.202 -1.181 O
1.465 0.515 3.822 O
2.169 3.173 1.181 O
1.465 -0.515 6.185 O
3.634 1.844 3.285 O
-1.465 3.173 3.822 O
1.465 3.173 3.822 O
0.000 5.531 1.069 O
```

No. 4
The following is a DFT calculation (GGA-PBE) of an optimized crystal structure of VNiMoRu.

E_form in eV per atom: 0.0344

Geometry as POSCAR:
```
VNiMoRu
1.0
6.004 0.000 0.000
0.000 6.004 0.000
0.000 0.000 6.004
V Ni Mo Ru
4 4 4 4
Cartesian
0.000 0.000 0.000 V
0.000 3.002 3.002 V
3.002 0.000 3.002 V
3.002 3.002 0.000 V
0.000 0.000 3.002 Ni
0.000 3.002 0.000 Ni
3.002 0.000 0.000 Ni
3.002 3.002 3.002 Ni
1.501 1.501 4.503 Mo
1.501 4.503 1.501 Mo
4.503 1.501 1.501 Mo
4.503 4.503 4.503 Mo
1.501 1.501 1.501 Ru
1.501 4.503 4.503 Ru
4.503 1.501 4.503 Ru
4.503 4.503 1.501 Ru
```

No. 5
The following is a DFT calculation (GGA-PBE) of an optimized crystal structure of Mg3Cd2Pd2.

E_form in eV per atom: -0.3471
E above lowest polymorph in meV/atom: 52

Geometry as POSCAR:
```
Mg3Cd2Pd2
1.0
4.507 0.000 0.000
2.241 3.959 0.000
2.203 1.183 7.757
Mg Cd Pd
3 2 2
Cartesian
0.000 0.000 0.000 Mg
2.241 1.299 1.692 Mg
6.709 3.843 6.064 Mg
2.222 1.242 4.714 Cd
6.729 3.899 3.043 Cd
4.454 2.503 6.767 Pd
4.497 2.639 0.989 Pd
```

No. 6
The following is a DFT calculation (GGA-PBE) of an optimized crystal structure of Cs3Na2Br3F2.

Formation energy from raw total energies in eV/atom: -2.04

Geometry as POSCAR:
```
Cs3Na2Br3F2
1.0
-2.455 2.455 14.194
2.455 -2.455 14.194
2.455 2.455 -14.194
Cs Na Br F
3 2 3 2
Cartesian
0.000 0.000 0.000 Cs
0.000 0.000 10.274 Cs
0.000 0.000 18.114 Cs
0.000 0.000 6.620 Na
0.000 0.000 21.768 Na
0.000 0.000 3.649 Br
0.000 0.000 14.194 Br
0.000 0.000 24.739 Br
2.455 0.000 7.097 F
0.000 2.455 7.097 F
```

No. 7
The following is a DFT calculation (GGA-PBE) of an optimized crystal structure of Li2Sm3Cd9.

E_form in eV per atom: -0.2595

Geometry as POSCAR:
```
Li2Sm3Cd9
1.0
-2.404 5.357 6.393
2.404 -5.357 6.393
2.404 5.357 -6.393
Li Sm Cd
2 3 9
Cartesian
0.000 1.798 0.000 Li
0.000 8.917 0.000 Li
0.000 0.000 2.701 Sm
0.000 0.000 6.393 Sm
0.000 0.000 10.085 Sm
2.404 0.000 0.000 Cd
2.404 2.369 -1.757 Cd
2.404 -1.426 4.606 Cd
2.404 2.369 1.757 Cd
2.404 1.426 4.606 Cd
0.000 3.932 1.787 Cd
0.000 2.988 4.636 Cd
0.000 6.783 1.787 Cd
0.000 2.988 8.150 Cd
```

No. 8
The following is a DFT calculation (GGA-PBE) of an optimized crystal structure of SrTlAu2.

E_form in eV per atom: -0.5008

Geometry as POSCAR:
```
SrTlAu2
1.0
7.995 0.000 0.000
0.000 4.907 0.000
0.000 0.000 10.602
Sr Tl Au
4 4 8
Cartesian
1.464 1.227 1.766 Sr
2.533 3.680 7.067 Sr
5.462 1.227 3.534 Sr
6.531 3.680 8.835 Sr
0.325 3.680 4.213 Tl
3.672 1.227 9.514 Tl
4.323 3.680 1.088 Tl
7.670 1.227 6.388 Tl
0.707 1.227 9.091 Au
1.688 3.680 10.216 Au
2.309 1.227 4.915 Au
3.291 3.680 3.790 Au
4.705 1.227 6.812 Au
5.686 3.680 5.687 Au
6.307 1.227 0.386 Au
7.288 3.680 1.511 Au
```

No. 9
The following is a DFT calculation (GGA-PBE) of an optimized crystal structure of Sr2Be3Si4Pd.

Formation energy from raw total energies in eV/atom: -0.30

Geometry as POSCAR:
```
Sr2Be3Si4Pd
1.0
4.074 0.000 0.000
0.000 4.074 0.000
0.000 0.000 10.140
Sr Be Si Pd
2 3 4 1
Cartesian
0.000 2.037 2.475 Sr
2.037 0.000 7.665 Sr
0.000 2.037 8.852 Be
2.037 0.000 1.288 Be
2.037 2.037 5.070 Be
0.000 0.000 0.000 Si
0.000 2.037 6.420 Si
2.037 0.000 3.720 Si
2.037 2.037 0.000 Si
0.000 0.000 5.070 Pd
```

No. 10
The following is a DFT calculation (GGA-PBE) of an optimized crystal structure of Ba3ZrSc.

E_form in eV per atom: 0.9436
E above lowest polymorph in meV/atom: 0

Geometry as POSCAR:
```
Ba3ZrSc
1.0
6.276 0.000 0.000
0.000 6.276 0.000
0.000 0.000 6.276
Ba Zr Sc
3 1 1
Cartesian
0.000 0.000 3.138 Ba
0.000 3.138 0.000 Ba
3.138 0.000 0.000 Ba
0.000 0.000 0.000 Zr
3.138 3.138 3.138 Sc
```

No. 11
The following is a DFT calculation (GGA-PBE) of an optimized crystal structure of Nd2Tm5Bi3C2.

E_form in eV per atom: -0.6487

Geometry as POSCAR:
```
Nd2Tm5Bi3C2
1.0
-2.404 2.404 13.128
2.404 -2.404 13.128
2.404 2.404 -13.128
Nd Tm Bi C
2 5 3 2
Cartesian
0.000 0.000 5.099 Nd
0.000 0.000 21.157 Nd
0.000 0.000 0.000 Tm
2.404 0.000 2.417 Tm
2.404 0.000 10.711 Tm
0.000 2.404 2.417 Tm
0.000 2.404 10.711 Tm
0.000 0.000 8.447 Bi
0.000 0.000 13.128 Bi
0.000 0.000 17.809 Bi
0.000 0.000 2.399 C
0.000 0.000 23.857 C
```

No. 12
The following is a DFT calculation (GGA-PBE) of an optimized crystal structure of SiHgBr2.

E above lowest polymorph in meV/atom: 133
Formation energy from raw total energies in eV/atom: -0.10

Geometry as POSCAR:
```
SiHgBr2
1.0
3.604 0.000 0.000
0.000 4.065 0.000
0.000 0.000 19.646
Si Hg Br
2 2 4
Cartesian
0.000 0.000 0.000 Si
1.802 2.033 9.823 Si
0.000 2.033 14.572 Hg
1.802 0.000 4.749 Hg
0.000 0.000 10.914 Br
0.000 2.033 7.939 Br
1.802 0.000 17.762 Br
1.802 2.033 1.091 Br
```